[1]
Density functional theory data (PBE-GGA) for a geometry-optimized Tb2SmDyY5 structure.

Structure (POSCAR):
```
Tb2SmDyY5
1.0
-4.422 4.422 7.524
4.422 -4.422 7.524
4.422 4.422 -7.524
Tb Sm Dy Y
4 2 2 10
Direct
0.114 0.614 0.729 Tb
0.386 0.114 0.500 Tb
0.614 0.886 0.500 Tb
0.886 0.386 0.271 Tb
0.250 0.250 0.000 Sm
0.750 0.750 0.000 Sm
0.250 0.750 0.500 Dy
0.750 0.250 0.500 Dy
0.000 0.000 0.000 Y
0.072 0.160 0.500 Y
0.160 0.660 0.088 Y
0.340 0.428 0.500 Y
0.428 0.928 0.088 Y
0.500 0.500 0.000 Y
0.572 0.072 0.912 Y
0.660 0.572 0.500 Y
0.840 0.340 0.912 Y
0.928 0.840 0.500 Y
```

Values from the calculation:
Crystal system ... tetragonal
N(E_F) ... 1.2907 states/eV/atom
Formation energy ... 2.464 eV/f.u.



[2]
Density functional theory data (PBE-GGA) for a geometry-optimized Be3TcPt structure.

Structure (POSCAR):
```
Be3TcPt
1.0
4.146 0.000 0.000
0.000 4.146 0.000
0.000 0.000 4.146
Be Tc Pt
3 1 1
Direct
0.000 0.000 0.500 Be
0.000 0.500 0.000 Be
0.500 0.000 0.000 Be
0.500 0.500 0.500 Tc
0.000 0.000 0.000 Pt
```

Values from the calculation:
Crystal system ... cubic
N(E_F) ... 0.4183 states/eV/atom
Formation energy ... 2.699 eV/f.u.



[3]
Density functional theory data (PBE-GGA) for a geometry-optimized Nd2ScCd structure.

Structure (POSCAR):
```
Nd2ScCd
1.0
3.719 0.000 0.000
0.000 3.719 0.000
0.000 0.000 8.503
Nd Sc Cd
2 1 1
Direct
0.000 0.000 0.243 Nd
0.000 0.000 0.757 Nd
0.500 0.500 0.500 Sc
0.500 0.500 0.000 Cd
```

Values from the calculation:
Crystal system ... tetragonal
N(E_F) ... 1.3142 states/eV/atom
Formation energy ... -0.440 eV/f.u.



[4]
Density functional theory data (PBE-GGA) for a geometry-optimized YPa2AlC4 structure.

Structure (POSCAR):
```
YPa2AlC4
1.0
1.808 -5.843 0.000
1.808 5.843 0.000
0.000 0.000 11.878
Y Pa Al C
2 4 2 8
Direct
0.109 0.891 0.750 Y
0.891 0.109 0.250 Y
0.370 0.630 0.552 Pa
0.370 0.630 0.948 Pa
0.630 0.370 0.052 Pa
0.630 0.370 0.448 Pa
0.154 0.846 0.250 Al
0.846 0.154 0.750 Al
0.000 0.000 0.000 C
0.000 0.000 0.500 C
0.257 0.743 0.116 C
0.257 0.743 0.384 C
0.441 0.559 0.750 C
0.559 0.441 0.250 C
0.743 0.257 0.616 C
0.743 0.257 0.884 C
```

Values from the calculation:
Crystal system ... orthorhombic
N(E_F) ... 0.2726 states/eV/atom
Formation energy ... -1.948 eV/f.u.



[5]
Density functional theory data (PBE-GGA) for a geometry-optimized RbTcN2 structure.

Structure (POSCAR):
```
RbTcN2
1.0
-2.995 2.995 4.327
2.995 -2.995 4.327
2.995 2.995 -4.327
Rb Tc N
2 2 4
Direct
0.000 0.000 0.000 Rb
0.750 0.250 0.500 Rb
0.250 0.750 0.500 Tc
0.500 0.500 0.000 Tc
0.323 0.625 0.198 N
0.375 0.573 0.698 N
0.427 0.125 0.802 N
0.875 0.677 0.302 N
```

Values from the calculation:
Crystal system ... tetragonal
N(E_F) ... 0.4731 states/eV/atom
Formation energy without anion corrections ... -16.3 kJ per mole of atoms



[6]
Density functional theory data (PBE-GGA) for a geometry-optimized HAuI3 structure.

Structure (POSCAR):
```
HAuI3
1.0
5.674 0.000 0.000
0.000 5.674 0.000
0.000 0.000 5.674
H Au I
1 1 3
Direct
0.000 0.000 0.000 H
0.500 0.500 0.500 Au
0.000 0.500 0.500 I
0.500 0.000 0.500 I
0.500 0.500 0.000 I
```

Values from the calculation:
Crystal system ... cubic
N(E_F) ... 1.0298 states/eV/atom
VASP energy ... -0.062 hartree per atom



[7]
Density functional theory data (PBE-GGA) for a geometry-optimized Ta8GaH6 structure.

Structure (POSCAR):
```
Ta8GaH6
1.0
4.169 2.407 2.951
-4.169 2.407 2.951
0.000 -4.814 2.951
Ta Ga H
8 1 6
Direct
0.060 0.719 0.399 Ta
0.176 0.176 0.176 Ta
0.281 0.601 0.940 Ta
0.399 0.060 0.719 Ta
0.601 0.940 0.281 Ta
0.719 0.399 0.060 Ta
0.824 0.824 0.824 Ta
0.940 0.281 0.601 Ta
0.500 0.500 0.500 Ga
0.022 0.342 0.936 H
0.064 0.978 0.658 H
0.342 0.936 0.022 H
0.658 0.064 0.978 H
0.936 0.022 0.342 H
0.978 0.658 0.064 H
```

Values from the calculation:
Crystal system ... trigonal
N(E_F) ... 0.3560 states/eV/atom
VASP energy ... -0.292 hartree per atom



[8]
Density functional theory data (PBE-GGA) for a geometry-optimized Nd4Mg3Hg structure.

Structure (POSCAR):
```
Nd4Mg3Hg
1.0
3.883 0.000 0.000
0.000 3.883 0.000
0.000 0.000 15.431
Nd Mg Hg
4 3 1
Direct
0.000 0.000 0.123 Nd
0.000 0.000 0.373 Nd
0.000 0.000 0.627 Nd
0.000 0.000 0.877 Nd
0.500 0.500 0.250 Mg
0.500 0.500 0.500 Mg
0.500 0.500 0.750 Mg
0.500 0.500 0.000 Hg
```

Values from the calculation:
Crystal system ... tetragonal
N(E_F) ... 1.3550 states/eV/atom
Formation energy ... -1.572 eV/f.u.



[9]
Density functional theory data (PBE-GGA) for a geometry-optimized USF structure.

Structure (POSCAR):
```
USF
1.0
-1.707 1.707 4.388
1.707 -1.707 4.388
1.707 1.707 -4.388
U S F
1 1 1
Direct
0.000 0.000 0.000 U
0.334 0.334 0.000 S
0.632 0.632 0.000 F
```

Values from the calculation:
Crystal system ... tetragonal
N(E_F) ... 1.6499 states/eV/atom
Formation energy without anion corrections ... -186.1 kJ per mole of atoms



[10]
Density functional theory data (PBE-GGA) for a geometry-optimized CaRh2Br structure.

Structure (POSCAR):
```
CaRh2Br
1.0
1.607 0.928 8.588
-1.607 0.928 8.588
0.000 -1.856 8.588
Ca Rh Br
1 2 1
Direct
0.000 0.000 0.000 Ca
0.243 0.243 0.243 Rh
0.757 0.757 0.757 Rh
0.500 0.500 0.500 Br
```

Values from the calculation:
Crystal system ... trigonal
N(E_F) ... 0.7204 states/eV/atom
Formation energy without anion corrections ... 29.7 kJ per mole of atoms



[11]
Density functional theory data (PBE-GGA) for a geometry-optimized K3Al2SnO6 structure.

Structure (POSCAR):
```
K3Al2SnO6
1.0
5.869 0.000 0.000
-2.935 5.083 0.000
0.000 0.000 7.214
K Al Sn O
3 2 1 6
Direct
0.000 0.000 0.000 K
0.333 0.667 0.735 K
0.667 0.333 0.265 K
0.333 0.667 0.298 Al
0.667 0.333 0.702 Al
0.000 0.000 0.500 Sn
0.165 0.329 0.318 O
0.165 0.835 0.318 O
0.329 0.165 0.682 O
0.671 0.835 0.318 O
0.835 0.165 0.682 O
0.835 0.671 0.682 O
```

Values from the calculation:
Crystal system ... trigonal
N(E_F) ... 0.1060 states/eV/atom
Formation energy without anion corrections ... -183.3 kJ per mole of atoms



[12]
Density functional theory data (PBE-GGA) for a geometry-optimized Tl2RuSe structure.

Structure (POSCAR):
```
Tl2RuSe
1.0
3.133 -3.958 0.000
3.133 3.958 0.000
-0.015 0.000 3.429
Tl Ru Se
2 1 1
Direct
0.000 0.500 0.000 Tl
0.500 0.000 0.000 Tl
0.000 0.000 0.500 Ru
0.500 0.500 0.500 Se
```

Values from the calculation:
Crystal system ... monoclinic
N(E_F) ... 0.8164 states/eV/atom
Formation energy without anion corrections ... 50.6 kJ per mole of atoms



no.,calculated density (Mg/m³)
1,6.1
2,7.5
3,6.3
4,8.3
5,4.5
6,5.3
7,14.2
8,6.1
9,9.4
10,7.0
11,3.0
12,11.5